Entry from the Alexandria database: a relaxed NdZrBi3 crystal (GGA-PBE).

The structure in CIF format:
```
data_NdZrBi3
_cell_length_a 13.7737
_cell_length_b 6.6541
_cell_length_c 6.5712
_cell_angle_alpha 90.00
_cell_angle_beta 90.00
_cell_angle_gamma 90.00
_space_group_name_H-M_alt 'P b c m'
_space_group_IT_number 57
loop_
_space_group_symop_operation_xyz
'x,y,z'
'-x,-y,-z'
'-x,-y,z+1/2'
'x,y,-z+1/2'
'x,-y+1/2,-z'
'-x,y+1/2,z'
'-x,y+1/2,-z+1/2'
'x,-y+1/2,z+1/2'
loop_
_atom_site_label
_atom_site_fract_x
_atom_site_fract_y
_atom_site_fract_z
_atom_site_occupancy
Nd1 0.1829 0.0133 0.2500 1
Zr1 0.4063 0.7500 0.0000 1
Bi1 0.0039 0.7500 0.0000 1
Bi2 0.2574 0.5092 0.2500 1
Bi3 0.4205 0.1238 0.2500 1
```

Summary:
Formation energy = -0.529 eV/atom